CeSnSbN after structural relaxation, computed with PBE-GGA.

POSCAR file:
```
CeSnSbN
1.0
-1.8932 2.2900 -1.2474
-0.7480 -1.9536 -2.4512
-5.6786 -3.3916 6.5542
Ce Sn Sb N
1 1 1 1
direct
0.6417 0.6417 0.2834
0.9758 0.9758 0.9516
0.2945 0.2945 0.5891
0.1001 0.1001 0.2001
```

Properties
Fermi-level density of states, states/eV/cell: 3.6
Volume, Å³ per atom: 23.44
Energy relative to the elements, uncorrected, meV per atom: -584

---

Be2AlAs after structural relaxation, computed with PBE-GGA.

POSCAR file:
```
Be2AlAs
1.0
-1.0384 0.8468 -3.0075
-1.0838 -3.0701 -0.4902
-4.3922 1.2521 1.8691
Be As Al
2 1 1
direct
0.0000 0.0000 0.9960
0.0000 0.0000 0.5040
0.5000 0.5000 0.7500
0.5000 0.5000 0.2500
```

Properties
Fermi-level density of states, states/eV/cell: 1.5
E above lowest polymorph, meV per atom: 158
E_form, eV per atom: 0.38
Volume, Å³ per atom: 13.37

---

SnHgBi after structural relaxation, computed with PBE-GGA.

POSCAR file:
```
SnHgBi
1.0
3.3044 0.0166 0.6672
-0.0289 6.1847 -0.0059
-0.0576 0.0082 8.8022
Sn Hg Bi
2 2 2
direct
0.5207 0.7500 0.9870
0.4923 0.2500 0.9870
0.2135 0.2499 0.6677
0.1188 0.7501 0.6677
0.9687 0.2500 0.3260
0.7054 0.7500 0.3260
```

Properties
Fermi-level density of states, states/eV/cell: 3.0
E above lowest polymorph, meV per atom: 24
E_form, eV per atom: 0.06
Volume, Å³ per atom: 30.02

---

Co2SiHg after structural relaxation, computed with PBE-GGA.

POSCAR file:
```
Co2SiHg
1.0
4.4297 -0.0068 -0.0026
0.6690 4.3789 0.0026
-2.1565 -2.6442 2.8249
Co Hg Si
2 1 1
direct
0.0436 0.0436 0.0000
0.4564 0.4564 0.0000
0.7500 0.2500 0.5000
0.2500 0.7500 0.5000
```

Properties
Fermi-level density of states, states/eV/cell: 4.0
E above lowest polymorph, meV per atom: 287
Volume, Å³ per atom: 13.71
Energy relative to the elements, uncorrected, meV per atom: 189